# 1
Density functional theory data (GGA-PBE) for Nd6As3Se2I after structural relaxation.

Total moment in Bohr magnetons per cell: 0.0
Crystal system: monoclinic
Density of states at the Fermi level in states/eV/atom: 0.398
Formation energy without anion corrections in meV/atom: -1571
E in eV per atom: -5.83

a = 4.2740 Å, b = 8.7012 Å, c = 9.6763 Å
α = 103.90°, β = 102.76°, γ = 90.00°
Last column: nearest neighbours and their distance in Å.
Positions (direct):
Nd (0.3209, 0.9178, 0.6418)  3 As 2.90-3.00, 2 Se 3.10
Nd (0.6647, 0.5913, 0.3294)  3 As 3.01, 3 Se 3.09-3.11
Nd (0.6791, 0.0822, 0.3582)  3 As 2.90-3.00, 2 Se 3.10
Nd (0.9987, 0.2802, 0.9974)  3 As 2.86-2.96, 1 Se 3.09
Nd (0.0013, 0.7198, 0.0026)  3 As 2.86-2.96, 1 Se 3.09
Nd (0.3353, 0.4087, 0.6706)  3 As 3.01, 3 Se 3.09-3.11
As (0.5000, 0.5000, 0.0000)  6 Nd 2.86-3.01
As (0.8375, 0.1667, 0.6749)  6 Nd 2.90-3.01
As (0.1625, 0.8333, 0.3251)  6 Nd 2.90-3.01
Se (0.8335, 0.6681, 0.6669)  6 Nd 3.09-3.11
Se (0.1665, 0.3319, 0.3331)  6 Nd 3.09-3.11
I (0.5000, 0.0000, 0.0000)  6 Nd 3.25-3.28


# 2
Density functional theory data (GGA-PBE) for Te2AsRh after structural relaxation.

Total moment in Bohr magnetons per cell: 0.0
Crystal system: tetragonal
Density of states at the Fermi level in states/eV/atom: 0.419
Formation energy without anion corrections in meV/atom: -31
E in eV per atom: -4.60

a = 3.0528 Å, b = 3.0528 Å, c = 10.8865 Å
α = 90.00°, β = 90.00°, γ = 90.00°
Last column: nearest neighbours and their distance in Å.
Positions (direct):
As (0.0000, 0.0000, 0.5948)  4 Rh 2.62
Te (0.0000, 0.0000, 0.9128)  4 Rh 2.93, 4 Te 3.05
Te (0.5000, 0.5000, 0.2612)  4 Te 3.05
Rh (0.5000, 0.5000, 0.7311)  4 As 2.62, 4 Te 2.93